EuZnGe, optimized geometry, DFT GGA-PBE; crystal system = orthorhombic; DOS(E_F) = 3.6556 states/eV per atom; total DFT energy (no corrections) = -5.894 eV/atom; energy of formation = -0.506 eV per atom; space-group type = Pmmm (47)
1.0
4.3229 0.0000 0.0000
0.0000 4.3250 0.0000
0.0000 0.0000 7.4862
Eu Zn Ge
2 2 2
Cartesian
0.0000 0.0000 0.0000
0.0000 2.1625 3.7431
2.1615 0.0000 2.5013
2.1615 0.0000 4.9849
2.1615 2.1625 1.2627
2.1615 2.1625 6.2236